# 1
A plane-wave DFT calculation with GGA-PBE was carried out for TlSi5Os3 after structural relaxation.

Summary:
Crystal system = hexagonal
M_tot = 0.1 μB per formula unit
Electronic total energy = -6.7830 eV/atom
Symmetry = P6/mmm (191)

Lattice parameters (Å, degrees): 5.490 5.490 6.032 90.00 90.00 120.00
Fractional positions:
Si 0.000 0.000 0.500
Si 0.333 0.667 0.806
Si 0.667 0.333 0.194
Si 0.333 0.667 0.194
Si 0.667 0.333 0.806
Os 0.500 0.000 0.500
Os 0.000 0.500 0.500
Os 0.500 0.500 0.500
Tl 0.000 0.000 0.000

# 2
A plane-wave DFT calculation with GGA-PBE was carried out for TlSiOs after structural relaxation.

Summary:
Crystal system = cubic
M_tot = 0.0 μB per formula unit
Energy above the most stable polymorph in this dataset = 0 meV per atom
Symmetry = F-43m (216)

Lattice parameters (Å, degrees): 4.374 4.374 4.374 60.00 60.00 60.00
Fractional positions:
Os 0.000 0.000 0.000
Si 0.250 0.250 0.250
Tl 0.750 0.750 0.750

# 3
A plane-wave DFT calculation with GGA-PBE was carried out for TmSiOs after structural relaxation.

Summary:
Crystal system = cubic
M_tot = 0.0 μB per formula unit
Electronic total energy = -6.2490 eV/atom
Symmetry = F-43m (216)

Lattice parameters (Å, degrees): 4.505 4.505 4.505 60.00 60.00 60.00
Fractional positions:
Si 0.750 0.750 0.750
Os 0.250 0.250 0.250
Tm 0.000 0.000 0.000

# 4
A plane-wave DFT calculation with GGA-PBE was carried out for TmSiOs after structural relaxation.

Summary:
Crystal system = cubic
M_tot = 0.0 μB per formula unit
Electronic total energy = -7.1730 eV/atom
Symmetry = F-43m (216)

Lattice parameters (Å, degrees): 4.392 4.392 4.392 60.00 60.00 60.00
Fractional positions:
Tm 0.750 0.750 0.750
Si 0.250 0.250 0.250
Os 0.000 0.000 0.000

# 5
A plane-wave DFT calculation with GGA-PBE was carried out for YTmSi4Os2 after structural relaxation.

Summary:
Crystal system = monoclinic
M_tot = 0.0 μB per formula unit
Electronic total energy = -7.6050 eV/atom
Symmetry = Pm (6)

Lattice parameters (Å, degrees): 4.411 4.082 8.121 90.00 101.80 90.00
Fractional positions:
Si 0.036 0.000 0.589
Si 0.338 0.500 0.007
Si 0.665 0.000 0.995
Si 0.963 0.500 0.411
Os 0.887 0.500 0.118
Os 0.116 0.000 0.884
Y 0.586 0.500 0.701
Tm 0.408 0.000 0.295

# 6
A plane-wave DFT calculation with GGA-PBE was carried out for USiOs after structural relaxation.

Summary:
Crystal system = cubic
M_tot = 0.1 μB per formula unit
Electronic total energy = -8.6268 eV/atom
Symmetry = F-43m (216)

Lattice parameters (Å, degrees): 4.479 4.479 4.479 60.00 60.00 60.00
Fractional positions:
U 0.000 0.000 0.000
Os 0.250 0.250 0.250
Si 0.750 0.750 0.750

# 7
A plane-wave DFT calculation with GGA-PBE was carried out for USiOs after structural relaxation.

Summary:
Crystal system = cubic
M_tot = 1.8 μB per formula unit
Electronic total energy = -9.2888 eV/atom
Symmetry = F-43m (216)

Lattice parameters (Å, degrees): 4.436 4.436 4.436 60.00 60.00 60.00
Fractional positions:
Si 0.250 0.250 0.250
Os 0.000 0.000 0.000
U 0.750 0.750 0.750

# 8
A plane-wave DFT calculation with GGA-PBE was carried out for SiOs2W after structural relaxation.

Summary:
Crystal system = cubic
M_tot = 0.0 μB per formula unit
Electronic total energy = -9.8955 eV/atom
Symmetry = F-43m (216)

Lattice parameters (Å, degrees): 4.344 4.344 4.344 60.00 60.00 60.00
Fractional positions:
Os 0.750 0.750 0.750
Os 0.000 0.000 0.000
Si 0.500 0.500 0.500
W 0.250 0.250 0.250

# 9
A plane-wave DFT calculation with GGA-PBE was carried out for Y3Si12Os4 after structural relaxation.

Summary:
Crystal system = orthorhombic
M_tot = 0.0 μB per formula unit
Electronic total energy = -7.3742 eV/atom
Symmetry = Cmce (64)

Lattice parameters (Å, degrees): 8.160 8.162 10.140 90.00 66.27 90.00
Fractional positions:
Si 0.611 0.005 0.234
Si 0.155 0.995 0.234
Si 0.705 0.000 0.590
Si 0.389 0.995 0.766
Si 0.205 0.500 0.590
Si 0.621 0.228 0.766
Si 0.655 0.505 0.234
Si 0.113 0.728 0.766
Si 0.833 0.333 0.000
Si 0.345 0.495 0.766
Si 0.167 0.667 0.000
Si 0.111 0.495 0.234
Si 0.295 0.000 0.410
Si 0.879 0.728 0.234
Si 0.795 0.500 0.410
Si 0.845 0.005 0.766
Si 0.121 0.272 0.766
Si 0.889 0.505 0.766
Si 0.613 0.772 0.766
Si 0.333 0.167 0.000
Si 0.387 0.228 0.234
Si 0.667 0.833 0.000
Si 0.379 0.772 0.234
Si 0.887 0.272 0.234
Y 0.998 0.750 0.500
Y 0.498 0.750 0.500
Y 0.000 0.000 0.000
Y 0.002 0.250 0.500
Y 0.500 0.500 0.000
Y 0.502 0.250 0.500
Os 0.627 0.127 0.000
Os 0.373 0.873 0.000
Os 0.331 0.500 0.338
Os 0.169 0.000 0.662
Os 0.873 0.627 0.000
Os 0.669 0.500 0.662
Os 0.127 0.373 0.000
Os 0.831 0.000 0.338

# 10
A plane-wave DFT calculation with GGA-PBE was carried out for Y2SiOs after structural relaxation.

Summary:
Crystal system = cubic
M_tot = 0.0 μB per formula unit
Electronic total energy = -7.5194 eV/atom
Symmetry = F-43m (216)

Lattice parameters (Å, degrees): 4.766 4.766 4.766 60.00 60.00 60.00
Fractional positions:
Y 0.750 0.750 0.750
Y 0.000 0.000 0.000
Os 0.250 0.250 0.250
Si 0.500 0.500 0.500

# 11
A plane-wave DFT calculation with GGA-PBE was carried out for Y5Si14Os4 after structural relaxation.

Summary:
Crystal system = monoclinic
M_tot = 0.0 μB per formula unit
Electronic total energy = -7.2990 eV/atom
Symmetry = P2_1/c (14)

Lattice parameters (Å, degrees): 12.787 8.048 7.968 90.00 98.65 90.00
Fractional positions:
Y 0.134 0.251 0.662
Y 0.865 0.254 0.843
Y 0.865 0.246 0.343
Y 0.866 0.751 0.838
Y 0.134 0.249 0.162
Y 0.866 0.749 0.338
Y 0.135 0.754 0.657
Y 0.500 0.000 0.000
Y 0.500 0.500 0.500
Y 0.135 0.746 0.157
Si 0.501 0.832 0.666
Si 0.679 0.279 0.050
Si 0.059 0.500 0.392
Si 0.941 0.500 0.608
Si 0.947 0.000 0.613
Si 0.679 0.006 0.763
Si 0.941 0.000 0.108
Si 0.679 0.221 0.550
Si 0.679 0.779 0.538
Si 0.321 0.779 0.450
Si 0.321 0.994 0.237
Si 0.321 0.005 0.677
Si 0.321 0.721 0.950
Si 0.053 0.500 0.887
Si 0.679 0.505 0.823
Si 0.679 0.995 0.323
Si 0.499 0.168 0.334
Si 0.499 0.332 0.834
Si 0.947 0.500 0.113
Si 0.501 0.668 0.166
Si 0.321 0.279 0.962
Si 0.321 0.506 0.737
Si 0.053 0.000 0.387
Si 0.679 0.494 0.263
Si 0.679 0.721 0.038
Si 0.321 0.495 0.177
Si 0.059 0.000 0.892
Si 0.321 0.221 0.462
Os 0.247 0.000 0.939
Os 0.753 0.000 0.061
Os 0.247 0.500 0.439
Os 0.499 0.374 0.129
Os 0.753 0.500 0.561
Os 0.499 0.126 0.629
Os 0.501 0.626 0.871
Os 0.501 0.874 0.371

# 12
A plane-wave DFT calculation with GGA-PBE was carried out for ZnSi2Os after structural relaxation.

Summary:
Crystal system = cubic
M_tot = 0.0 μB per formula unit
Electronic total energy = -5.3914 eV/atom
Symmetry = F-43m (216)

Lattice parameters (Å, degrees): 4.284 4.284 4.284 60.00 60.00 60.00
Fractional positions:
Os 0.750 0.750 0.750
Zn 0.500 0.500 0.500
Si 0.250 0.250 0.250
Si 0.000 0.000 0.000

Please write out number 6 again, unchanged.
A plane-wave DFT calculation with GGA-PBE was carried out for USiOs after structural relaxation.

Summary:
Crystal system = cubic
M_tot = 0.1 μB per formula unit
Electronic total energy = -8.6268 eV/atom
Symmetry = F-43m (216)

Lattice parameters (Å, degrees): 4.479 4.479 4.479 60.00 60.00 60.00
Fractional positions:
U 0.000 0.000 0.000
Os 0.250 0.250 0.250
Si 0.750 0.750 0.750